## KRuPb2 (GGA-PBEsol)

Data for a relaxed structure of KRuPb2.

CIF file:
```
data_KRuPb2
_chemical_formula_sum 'K2 Ru2 Pb4'
_space_group_name_H-M_alt 'I -4 m 2'
_space_group_IT_number 119
_space_group_name_Hall 'I -4 -2'
_cell_length_a 4.446
_cell_length_b 4.446
_cell_length_c 9.585
_cell_angle_alpha 90.00
_cell_angle_beta 90.00
_cell_angle_gamma 90.00
loop_
_atom_site_label
_atom_site_type_symbol
_atom_site_fract_x
_atom_site_fract_y
_atom_site_fract_z
K1 K 0.000 0.000 0.000
Ru1 Ru 0.000 0.500 0.750
Pb1 Pb 0.000 0.000 0.500
Pb2 Pb 0.000 0.500 0.250
```

Calculated formation energy ... 3.14 eV per formula unit
Total magnetization ... 0.1 Bohr magnetons per cell

## HfSiMo (GGA-PBEsol)

Data for a relaxed structure of HfSiMo.

CIF file:
```
data_HfSiMo
_chemical_formula_sum 'Hf4 Si4 Mo4'
_space_group_name_H-M_alt 'P n m a'
_space_group_IT_number 62
_cell_length_a 6.896
_cell_length_b 3.452
_cell_length_c 8.129
_cell_angle_alpha 90.00
_cell_angle_beta 90.00
_cell_angle_gamma 90.00
loop_
_space_group_symop_operation_xyz
'x,y,z'
'-x,-y,-z'
'-x+1/2,-y,z+1/2'
'x+1/2,y,-z+1/2'
'x+1/2,-y+1/2,-z+1/2'
'-x+1/2,y+1/2,z+1/2'
'-x,y+1/2,-z'
'x,-y+1/2,z'
loop_
_atom_site_label
_atom_site_type_symbol
_atom_site_fract_x
_atom_site_fract_y
_atom_site_fract_z
Hf1 Hf 0.044 0.250 0.167
Si1 Si 0.244 0.750 0.363
Mo1 Mo 0.133 0.250 0.563
```

Formation energy from raw total energies ... -0.75 eV/atom
Total magnetization ... 0.0 Bohr magnetons per cell

## BaYMn2O5 (GGA-PBEsol)

Data for a relaxed structure of BaYMn2O5.

CIF file:
```
data_BaYMn2O5
_chemical_formula_sum 'Ba1 Y1 Mn2 O5'
_space_group_name_H-M_alt 'P 4/m m m'
_space_group_IT_number 123
_space_group_name_Hall '-P 4 2'
_cell_length_a 3.885
_cell_length_b 3.885
_cell_length_c 7.416
_cell_angle_alpha 90.00
_cell_angle_beta 90.00
_cell_angle_gamma 90.00
loop_
_atom_site_label
_atom_site_type_symbol
_atom_site_fract_x
_atom_site_fract_y
_atom_site_fract_z
Ba1 Ba 0.000 0.000 0.000
Y1 Y 0.000 0.000 0.500
Mn1 Mn 0.500 0.500 0.274
O1 O 0.000 0.500 0.308
O2 O 0.500 0.500 0.000
```

Formation energy from raw total energies ... -2.40 eV/atom
Total magnetization ... 8.0 Bohr magnetons per cell

## LiOsSN2 (GGA-PBEsol)

Data for a relaxed structure of LiOsSN2.

CIF file:
```
data_LiOsSN2
_chemical_formula_sum 'Li1 Os1 S1 N2'
_space_group_name_H-M_alt 'P 4/m m m'
_space_group_IT_number 123
_space_group_name_Hall '-P 4 2'
_cell_length_a 3.519
_cell_length_b 3.519
_cell_length_c 4.140
_cell_angle_alpha 90.00
_cell_angle_beta 90.00
_cell_angle_gamma 90.00
loop_
_atom_site_label
_atom_site_type_symbol
_atom_site_fract_x
_atom_site_fract_y
_atom_site_fract_z
Li1 Li 0.000 0.000 0.000
Os1 Os 0.500 0.500 0.500
S1 S 0.000 0.000 0.500
N1 N 0.000 0.500 0.000
```

Formation energy from raw total energies ... 1.87 eV/atom
Total magnetization ... 0.0 Bohr magnetons per cell

## CoOsSe4 (GGA-PBEsol)

Data for a relaxed structure of CoOsSe4.

CIF file:
```
data_CoOsSe4
_chemical_formula_sum 'Co4 Os4 Se16'
_space_group_name_H-M_alt 'F -4 3 m'
_space_group_IT_number 216
_space_group_name_Hall 'F -4 2 3'
_cell_length_a 7.549
_cell_length_b 7.549
_cell_length_c 7.549
_cell_angle_alpha 90.00
_cell_angle_beta 90.00
_cell_angle_gamma 90.00
loop_
_atom_site_label
_atom_site_type_symbol
_atom_site_fract_x
_atom_site_fract_y
_atom_site_fract_z
Co1 Co 0.000 0.000 0.000
Os1 Os 0.250 0.250 0.750
Se1 Se 0.125 0.125 0.375
```

Formation energy from raw total energies ... 1.58 eV/atom
Total magnetization ... 14.9 Bohr magnetons per cell

## CuNiRh2 (GGA-PBEsol)

Data for a relaxed structure of CuNiRh2.

CIF file:
```
data_CuNiRh2
_chemical_formula_sum 'Cu2 Ni2 Rh4'
_space_group_name_H-M_alt 'I -4 m 2'
_space_group_IT_number 119
_space_group_name_Hall 'I -4 -2'
_cell_length_a 3.637
_cell_length_b 3.637
_cell_length_c 7.404
_cell_angle_alpha 90.00
_cell_angle_beta 90.00
_cell_angle_gamma 90.00
loop_
_atom_site_label
_atom_site_type_symbol
_atom_site_fract_x
_atom_site_fract_y
_atom_site_fract_z
Cu1 Cu 0.000 0.000 0.000
Ni1 Ni 0.000 0.500 0.250
Rh1 Rh 0.000 0.000 0.500
Rh2 Rh 0.000 0.500 0.750
```

Calculated formation energy ... 0.20 eV per formula unit
Total magnetization ... 0.0 Bohr magnetons per cell

## AgSe (GGA-PBEsol)

Data for a relaxed structure of AgSe.

CIF file:
```
data_AgSe
_chemical_formula_sum 'Ag4 Se4'
_space_group_name_H-M_alt 'F m -3 m'
_space_group_IT_number 225
_space_group_name_Hall '-F 4 2 3'
_cell_length_a 5.395
_cell_length_b 5.395
_cell_length_c 5.395
_cell_angle_alpha 90.00
_cell_angle_beta 90.00
_cell_angle_gamma 90.00
loop_
_atom_site_label
_atom_site_type_symbol
_atom_site_fract_x
_atom_site_fract_y
_atom_site_fract_z
Ag1 Ag 0.000 0.000 0.000
Se1 Se 0.000 0.000 0.500
```

Formation energy from raw total energies ... -0.03 eV/atom
Total magnetization ... 0.0 Bohr magnetons per cell

## HgAuBr2 (GGA-PBEsol)

Data for a relaxed structure of HgAuBr2.

CIF file:
```
data_HgAuBr2
_chemical_formula_sum 'Hg1 Au1 Br2'
_space_group_name_H-M_alt 'P 1 2/m 1'
_space_group_IT_number 10
_cell_length_a 3.922
_cell_length_b 3.878
_cell_length_c 6.943
_cell_angle_alpha 90.00
_cell_angle_beta 93.35
_cell_angle_gamma 90.00
loop_
_space_group_symop_operation_xyz
'x,y,z'
'-x,-y,-z'
'-x,y,-z'
'x,-y,z'
loop_
_atom_site_label
_atom_site_type_symbol
_atom_site_fract_x
_atom_site_fract_y
_atom_site_fract_z
Hg1 Hg 0.000 0.000 0.000
Au1 Au 0.500 0.000 0.500
Br1 Br 0.319 0.500 0.723
```

Formation energy from raw total energies ... 0.01 eV/atom
Total magnetization ... 0.0 Bohr magnetons per cell

## ScZnP2Cl (GGA-PBEsol)

Data for a relaxed structure of ScZnP2Cl.

CIF file:
```
data_ScZnP2Cl
_chemical_formula_sum 'Sc1 Zn1 P2 Cl1'
_space_group_name_H-M_alt 'P 4/m m m'
_space_group_IT_number 123
_space_group_name_Hall '-P 4 2'
_cell_length_a 4.495
_cell_length_b 4.495
_cell_length_c 4.876
_cell_angle_alpha 90.00
_cell_angle_beta 90.00
_cell_angle_gamma 90.00
loop_
_atom_site_label
_atom_site_type_symbol
_atom_site_fract_x
_atom_site_fract_y
_atom_site_fract_z
Sc1 Sc 0.000 0.000 0.000
Zn1 Zn 0.500 0.500 0.500
P1 P 0.000 0.500 0.500
Cl1 Cl 0.500 0.500 0.000
```

Formation energy from raw total energies ... 0.03 eV/atom
Total magnetization ... 0.0 Bohr magnetons per cell

## KFeI2 (GGA-PBEsol)

Data for a relaxed structure of KFeI2.

CIF file:
```
data_KFeI2
_chemical_formula_sum 'K4 Fe4 I8'
_space_group_name_H-M_alt 'F m -3 m'
_space_group_IT_number 225
_space_group_name_Hall '-F 4 2 3'
_cell_length_a 7.638
_cell_length_b 7.638
_cell_length_c 7.638
_cell_angle_alpha 90.00
_cell_angle_beta 90.00
_cell_angle_gamma 90.00
loop_
_atom_site_label
_atom_site_type_symbol
_atom_site_fract_x
_atom_site_fract_y
_atom_site_fract_z
K1 K 0.000 0.000 0.000
Fe1 Fe 0.000 0.000 0.500
I1 I 0.250 0.250 0.250
```

Formation energy from raw total energies ... 0.01 eV/atom
Total magnetization ... 12.1 Bohr magnetons per cell

## Ta2Fe2Sb (GGA-PBEsol)

Data for a relaxed structure of Ta2Fe2Sb.

CIF file:
```
data_Ta2Fe2Sb
_chemical_formula_sum 'Ta4 Fe4 Sb2'
_space_group_name_H-M_alt 'I 4/m m m'
_space_group_IT_number 139
_space_group_name_Hall '-I 4 2'
_cell_length_a 4.105
_cell_length_b 4.105
_cell_length_c 9.806
_cell_angle_alpha 90.00
_cell_angle_beta 90.00
_cell_angle_gamma 90.00
loop_
_atom_site_label
_atom_site_type_symbol
_atom_site_fract_x
_atom_site_fract_y
_atom_site_fract_z
Ta1 Ta 0.000 0.500 0.250
Fe1 Fe 0.000 0.000 0.112
Sb1 Sb 0.000 0.000 0.500
```

Formation energy from raw total energies ... 0.16 eV/atom
Total magnetization ... 0.0 Bohr magnetons per cell

## BaY3Fe (GGA-PBEsol)

Data for a relaxed structure of BaY3Fe.

CIF file:
```
data_BaY3Fe
_chemical_formula_sum 'Ba1 Y3 Fe1'
_space_group_name_H-M_alt 'P m -3 m'
_space_group_IT_number 221
_space_group_name_Hall '-P 4 2 3'
_cell_length_a 5.495
_cell_length_b 5.495
_cell_length_c 5.495
_cell_angle_alpha 90.00
_cell_angle_beta 90.00
_cell_angle_gamma 90.00
loop_
_atom_site_label
_atom_site_type_symbol
_atom_site_fract_x
_atom_site_fract_y
_atom_site_fract_z
Ba1 Ba 0.000 0.000 0.000
Y1 Y 0.000 0.000 0.500
Fe1 Fe 0.500 0.500 0.500
```

Calculated formation energy ... 8.04 eV per formula unit
Total magnetization ... 2.8 Bohr magnetons per cell

## CdHgRu (GGA-PBEsol)

Data for a relaxed structure of CdHgRu.

CIF file:
```
data_CdHgRu
_chemical_formula_sum 'Cd4 Hg4 Ru4'
_space_group_name_H-M_alt 'F -4 3 m'
_space_group_IT_number 216
_space_group_name_Hall 'F -4 2 3'
_cell_length_a 6.259
_cell_length_b 6.259
_cell_length_c 6.259
_cell_angle_alpha 90.00
_cell_angle_beta 90.00
_cell_angle_gamma 90.00
loop_
_atom_site_label
_atom_site_type_symbol
_atom_site_fract_x
_atom_site_fract_y
_atom_site_fract_z
Cd1 Cd 0.000 0.000 0.000
Hg1 Hg 0.250 0.250 0.250
Ru1 Ru 0.000 0.000 0.500
```

Calculated formation energy ... 2.51 eV per formula unit
Total magnetization ... 0.0 Bohr magnetons per cell

## TaCr2Si (GGA-PBEsol)

Data for a relaxed structure of TaCr2Si.

CIF file:
```
data_TaCr2Si
_chemical_formula_sum 'Ta1 Cr2 Si1'
_space_group_name_H-M_alt 'P 4/m m m'
_space_group_IT_number 123
_space_group_name_Hall '-P 4 2'
_cell_length_a 4.080
_cell_length_b 4.080
_cell_length_c 3.145
_cell_angle_alpha 90.00
_cell_angle_beta 90.00
_cell_angle_gamma 90.00
loop_
_atom_site_label
_atom_site_type_symbol
_atom_site_fract_x
_atom_site_fract_y
_atom_site_fract_z
Ta1 Ta 0.000 0.000 0.000
Cr1 Cr 0.000 0.500 0.500
Si1 Si 0.500 0.500 0.000
```

Formation energy from raw total energies ... -0.20 eV/atom
Total magnetization ... 2.4 Bohr magnetons per cell